The following is a GGA-PBE calculation of crystalline PaPPdO at its relaxed geometry, from OQMD via LeMat-Bulk.

abc: 3.872 3.872 8.161
angles: 90.00 90.00 90.00
Element x y z (fractional)
Pa1 0.250 0.250 0.172
Pa2 0.750 0.750 0.828
P1 0.250 0.250 0.694
P2 0.750 0.750 0.306
Pd1 0.250 0.750 0.500
Pd2 0.750 0.250 0.500
O1 0.250 0.750 0.000
O2 0.750 0.250 0.000

Properties
Its excess energy over the best structure of this formula in the dataset is 0 meV per atom. Its total energy is -61.05 eV/cell.

=====

The following is a GGA-PBE calculation of crystalline AlPt5 at its relaxed geometry, from OQMD via LeMat-Bulk.

abc: 11.114 3.948 8.361
angles: 90.00 90.00 90.00
Element x y z (fractional)
Al1 0.073 0.250 0.101
Al2 0.427 0.750 0.601
Al3 0.573 0.250 0.399
Al4 0.927 0.750 0.899
Pt1 0.052 0.250 0.767
Pt2 0.064 0.250 0.417
Pt3 0.167 0.750 0.935
Pt4 0.190 0.750 0.590
Pt5 0.195 0.750 0.262
Pt6 0.305 0.250 0.762
Pt7 0.310 0.250 0.090
Pt8 0.333 0.250 0.435
Pt9 0.436 0.750 0.917
Pt10 0.448 0.750 0.267
Pt11 0.552 0.250 0.733
Pt12 0.564 0.250 0.083
Pt13 0.667 0.750 0.565
Pt14 0.690 0.750 0.910
Pt15 0.695 0.750 0.238
Pt16 0.805 0.250 0.738
Pt17 0.810 0.250 0.410
Pt18 0.833 0.250 0.065
Pt19 0.936 0.750 0.583
Pt20 0.948 0.750 0.233

Properties
Its total energy is -147.14 eV/cell.

=====

The following is a GGA-PBE calculation of crystalline HOs2 at its relaxed geometry, from OQMD via LeMat-Bulk.

abc: 3.679 3.679 3.679
angles: 60.00 60.00 60.00
Element x y z (fractional)
H1 0.000 0.000 0.000
Os1 0.250 0.250 0.250
Os2 0.750 0.750 0.750

Properties
Its excess energy over the best structure of this formula in the dataset is 0 meV per atom. Its total energy is -21.93 eV/cell.